4
Lattice="2.2034 1.2721 7.7994 -2.2034 1.2721 7.7994 0.0000 -2.5442 7.7994" Properties=species:S:1:pos:R:3 comment="Sm2BiTe PBE-GGA optimized geometry" magnetic_moment_mub_per_atom=0.049 polymorph_energy_ev_per_atom=0.060 vol_a3_per_cell=131 raw_formation_energy_mev_per_atom=-1116 pbc="T T T"
Sm 0.0000 0.0000 0.0000
Sm 0.0000 0.0000 4.0606
Bi 0.0000 0.0000 13.7622
Te 0.0000 0.0000 9.8063